No. 1
SrSbI2N after structural relaxation. Source: Alexandria via LeMat-Bulk, functional PBE-GGA.

Excess energy over the best structure of this formula in the dataset (meV per atom): 667
Final energy (eV/cell): -14.326
Raw formation energy (eV/atom): 0.5807

a b c (Å): 6.3505 6.3505 4.4289
angles (deg): 90.00 90.00 90.00
Fractional coordinates of all 5 atoms:
I 0.0000 0.5000 0.0000
I 0.5000 0.0000 0.0000
Sb 0.5000 0.5000 0.5000
N 0.0000 0.0000 0.5000
Sr 0.0000 0.0000 0.0000

***

No. 2
SrSbI2N after structural relaxation. Source: Alexandria via LeMat-Bulk, functional PBE-GGA.

Excess energy over the best structure of this formula in the dataset (meV per atom): 799
Final energy (eV/cell): -13.667
Raw formation energy (eV/atom): 0.7125

a b c (Å): 6.3856 6.3856 7.3051
angles (deg): 90.00 90.00 90.00
Each line ends with the local moment (μB).
Fractional coordinates of all 5 atoms:
I 0.0000 0.5000 0.0000  0.06
I 0.5000 0.0000 0.0000  0.06
Sb 0.0000 0.0000 0.5000  1.03
N 0.5000 0.5000 0.5000  1.94
Sr 0.0000 0.0000 0.0000  0.03